Entry from the Alexandria database: crystalline Tl5WO4F2 at its relaxed geometry (GGA+U).

abc: 6.660 5.961 8.559
angles: 90.00 90.00 123.96
Element x y z (fractional)
O (0.579, 0.000, 0.173)
W (0.419, 0.000, 0.000)
Tl (0.078, 0.365, 0.746)
F (0.846, 0.373, 0.500)
O (0.112, 0.694, 0.000)
O (0.418, 0.306, 0.000)
Tl (0.397, 0.000, 0.500)
F (0.473, 0.627, 0.500)
O (0.579, 0.000, 0.827)
Tl (0.713, 0.635, 0.254)
Tl (0.713, 0.635, 0.746)
Tl (0.078, 0.365, 0.254)

Output
magnetization = 0.00 μB/cell
raw total energy = -4.921 eV per atom